KSrFe: optimized geometry, PBEsol.

Calculated values
uncorrected energy: -3.108 eV/atom
offset from the most stable computed form: 0.000 eV/atom
DFT formation energy: 0.8712 eV/atom

a = 3.693 Å, b = 3.693 Å, c = 8.307 Å
α = 102.84°, β = 102.84°, γ = 90.00°
Positions (direct):
Fe: 0.988 0.988 0.975
K: 0.636 0.636 0.272
Sr: 0.376 0.376 0.752

=====

KMg3CuAs3O12: optimized geometry, PBEsol.

Calculated values
uncorrected energy: -6.235 eV/atom
raw formation energy: -35.8 eV/f.u.

a = 6.781 Å, b = 8.823 Å, c = 8.823 Å
α = 92.98°, β = 105.46°, γ = 105.46°
Positions (direct):
Mg: 0.128 0.560 0.876
Mg: 0.372 0.124 0.440
Mg: 0.250 0.243 0.757
Mg: 0.750 0.757 0.243
Mg: 0.872 0.440 0.124
Mg: 0.628 0.876 0.560
O: 0.186 0.001 0.777
O: 0.122 0.675 0.684
O: 0.378 0.316 0.325
O: 0.179 0.473 0.095
O: 0.321 0.905 0.527
O: 0.686 0.777 0.001
O: 0.878 0.325 0.316
O: 0.880 0.832 0.490
O: 0.679 0.095 0.473
O: 0.763 0.224 0.985
O: 0.314 0.223 0.999
O: 0.523 0.251 0.674
O: 0.120 0.168 0.510
O: 0.477 0.749 0.326
O: 0.622 0.684 0.675
O: 0.821 0.527 0.905
O: 0.620 0.510 0.168
O: 0.023 0.674 0.251
O: 0.380 0.490 0.832
O: 0.737 0.015 0.776
O: 0.977 0.326 0.749
O: 0.237 0.776 0.015
O: 0.263 0.985 0.224
O: 0.814 0.999 0.223
As: 0.873 0.147 0.379
As: 0.750 0.215 0.785
As: 0.250 0.785 0.215
As: 0.127 0.853 0.621
As: 0.627 0.621 0.853
As: 0.373 0.379 0.147
Cu: 0.250 0.997 0.003
Cu: 0.750 0.003 0.997
K: 0.750 0.485 0.515
K: 0.250 0.515 0.485

=====

Mg2ReRu: optimized geometry, PBEsol.

Calculated values
uncorrected energy: -6.687 eV/atom
offset from the most stable computed form: 0.000 eV/atom
DFT formation energy: 0.0479 eV/atom

a = 2.960 Å, b = 2.960 Å, c = 7.387 Å
α = 90.00°, β = 90.00°, γ = 90.00°
Positions (direct):
Mg: 0.500 0.500 0.276
Mg: 0.000 0.000 0.966
Re: 0.000 0.000 0.527
Ru: 0.500 0.500 0.730

=====

TlRe2Mo: optimized geometry, PBEsol.

Calculated values
uncorrected energy: -9.757 eV/atom
offset from the most stable computed form: 0.000 eV/atom
DFT formation energy: 0.5085 eV/atom

a = 2.856 Å, b = 2.856 Å, c = 9.440 Å
α = 81.30°, β = 81.30°, γ = 60.00°
Positions (direct):
Re: 0.002 0.002 0.995
Re: 0.743 0.743 0.771
Mo: 0.256 0.256 0.232
Tl: 0.500 0.500 0.501

=====

GeSbAs2N: optimized geometry, PBEsol.

Calculated values
uncorrected energy: -5.105 eV/atom
raw formation energy: 2.7 eV/f.u.

a = 4.530 Å, b = 4.393 Å, c = 4.393 Å
α = 90.00°, β = 90.00°, γ = 90.00°
Positions (direct):
Sb: 0.500 0.500 0.500
As: 0.000 0.000 0.500
As: 0.000 0.500 0.000
Ge: 0.500 0.000 0.000
N: 0.000 0.000 0.000

=====

BaSc2Se: optimized geometry, PBEsol.

Calculated values
uncorrected energy: -4.780 eV/atom
raw formation energy: 0.1 eV/f.u.

a = 3.689 Å, b = 3.689 Å, c = 11.130 Å
α = 80.46°, β = 80.46°, γ = 60.00°
Positions (direct):
Sc: 0.074 0.074 0.778
Sc: 0.926 0.926 0.222
Ba: 0.500 0.500 0.500
Se: 0.000 0.000 0.000

=====

Cu5Au: optimized geometry, PBEsol.

Calculated values
uncorrected energy: -4.285 eV/atom
offset from the most stable computed form: 0.000 eV/atom
DFT formation energy: -0.0196 eV/atom

a = 3.653 Å, b = 3.680 Å, c = 5.782 Å
α = 90.00°, β = 108.41°, γ = 90.00°
Positions (direct):
Au: 0.000 0.000 0.000
Cu: 0.328 0.000 0.655
Cu: 0.172 0.500 0.344
Cu: 0.500 0.500 0.000
Cu: 0.672 0.000 0.345
Cu: 0.828 0.500 0.656

=====

BaMgRhI2: optimized geometry, PBEsol.

Calculated values
uncorrected energy: -2.368 eV/atom
raw formation energy: 3.7 eV/f.u.

a = 6.459 Å, b = 6.459 Å, c = 7.241 Å
α = 90.00°, β = 90.00°, γ = 90.00°
Positions (direct):
Mg: 0.000 0.000 0.500
Ba: 0.000 0.000 0.000
I: 0.500 0.000 0.000
I: 0.000 0.500 0.000
Rh: 0.500 0.500 0.500

=====

K2YTaBe: optimized geometry, PBEsol.

Calculated values
uncorrected energy: -3.561 eV/atom
DFT formation energy: 1.5670 eV/atom

a = 4.872 Å, b = 5.576 Å, c = 5.576 Å
α = 90.00°, β = 90.00°, γ = 90.00°
Positions (direct):
Ta: 0.500 0.000 0.000
Y: 0.500 0.500 0.500
Be: 0.000 0.000 0.000
K: 0.000 0.000 0.500
K: 0.000 0.500 0.000

=====

CrMoBr2: optimized geometry, PBEsol.

Calculated values
uncorrected energy: -5.807 eV/atom
raw formation energy: 2.5 eV/f.u.
offset from the most stable computed form: 0.370 eV/atom

a = 3.133 Å, b = 3.133 Å, c = 8.595 Å
α = 79.50°, β = 79.50°, γ = 60.00°
Positions (direct):
Br: 0.902 0.902 0.293
Br: 0.098 0.098 0.707
Mo: 0.000 0.000 0.000
Cr: 0.500 0.500 0.500

=====

MgZrFe2: optimized geometry, PBEsol.

Calculated values
uncorrected energy: -7.084 eV/atom
DFT formation energy: 0.0994 eV/atom

a = 3.093 Å, b = 4.299 Å, c = 5.274 Å
α = 114.05°, β = 107.05°, γ = 90.00°
Positions (direct):
Fe: 0.033 0.033 0.066
Fe: 0.726 0.226 0.452
Mg: 0.480 0.480 0.961
Zr: 0.261 0.761 0.521

=====

SnRhIN2: optimized geometry, PBEsol.

Calculated values
uncorrected energy: -5.068 eV/atom
raw formation energy: 5.9 eV/f.u.

a = 4.062 Å, b = 4.062 Å, c = 5.336 Å
α = 90.00°, β = 90.00°, γ = 90.00°
Positions (direct):
N: 0.000 0.500 0.000
N: 0.500 0.000 0.000
Rh: 0.000 0.000 0.000
I: 0.000 0.000 0.500
Sn: 0.500 0.500 0.500

=====

BaNiOs: optimized geometry, PBEsol.

Calculated values
uncorrected energy: -6.172 eV/atom
offset from the most stable computed form: 0.000 eV/atom
DFT formation energy: 0.6684 eV/atom

a = 2.889 Å, b = 3.793 Å, c = 6.056 Å
α = 108.25°, β = 103.80°, γ = 90.00°
Positions (direct):
Ni: 0.278 0.278 0.557
Os: 0.719 0.719 0.438
Ba: 0.003 0.003 0.005

=====

ZnTcNi2: optimized geometry, PBEsol.

Calculated values
uncorrected energy: -6.257 eV/atom
DFT formation energy: 0.0337 eV/atom

a = 2.525 Å, b = 4.358 Å, c = 4.592 Å
α = 97.29°, β = 90.00°, γ = 106.84°
Positions (direct):
Zn: 0.000 0.000 0.500
Tc: 0.500 0.000 0.000
Ni: 0.750 0.500 0.759
Ni: 0.250 0.500 0.241

=====

PmMgAg2: optimized geometry, PBEsol.

Calculated values
uncorrected energy: -3.656 eV/atom
DFT formation energy: -0.2866 eV/atom

a = 4.947 Å, b = 4.947 Å, c = 4.947 Å
α = 60.00°, β = 60.00°, γ = 60.00°
Positions (direct):
Pm: 0.000 0.000 0.000
Mg: 0.500 0.500 0.500
Ag: 0.250 0.250 0.250
Ag: 0.750 0.750 0.750

=====

BaLi3Pt: optimized geometry, PBEsol.

Calculated values
uncorrected energy: -3.160 eV/atom
DFT formation energy: -0.1578 eV/atom

a = 4.929 Å, b = 4.929 Å, c = 4.929 Å
α = 90.00°, β = 90.00°, γ = 90.00°
Positions (direct):
Li: 0.000 0.500 0.000
Li: 0.500 0.000 0.000
Li: 0.000 0.000 0.500
Ba: 0.500 0.500 0.500
Pt: 0.000 0.000 0.000

=====

Be2BiAuCl: optimized geometry, PBEsol.

Calculated values
uncorrected energy: -3.319 eV/atom
raw formation energy: 1.6 eV/f.u.

a = 4.398 Å, b = 4.398 Å, c = 5.607 Å
α = 90.00°, β = 90.00°, γ = 90.00°
Positions (direct):
Au: 0.000 0.000 0.000
Cl: 0.500 0.500 0.500
Be: 0.000 0.500 0.000
Be: 0.500 0.000 0.000
Bi: 0.000 0.000 0.500

=====

Mg2AuBr: optimized geometry, PBEsol.

Calculated values
uncorrected energy: -2.677 eV/atom
raw formation energy: -1.5 eV/f.u.
offset from the most stable computed form: 0.000 eV/atom

a = 3.892 Å, b = 3.892 Å, c = 6.363 Å
α = 107.81°, β = 107.81°, γ = 90.00°
Positions (direct):
Mg: 0.750 0.250 0.500
Mg: 0.000 0.000 0.000
Au: 0.500 0.500 0.000
Br: 0.250 0.750 0.500

=====

LiZnCu2: optimized geometry, PBEsol.

Calculated values
uncorrected energy: -3.141 eV/atom
DFT formation energy: -0.0865 eV/atom

a = 3.607 Å, b = 3.729 Å, c = 3.563 Å
α = 90.00°, β = 90.00°, γ = 90.00°
Positions (direct):
Li: 0.500 0.500 0.000
Cu: 0.000 0.000 0.000
Cu: 0.500 0.000 0.500
Zn: 0.000 0.500 0.500

=====

Zr2AlAu: optimized geometry, PBEsol.

Calculated values
uncorrected energy: -7.059 eV/atom
DFT formation energy: -0.5105 eV/atom

a = 3.184 Å, b = 4.131 Å, c = 5.692 Å
α = 90.00°, β = 90.00°, γ = 90.00°
Positions (direct):
Au: 0.500 0.500 0.500
Zr: 0.000 0.000 0.250
Zr: 0.000 0.000 0.750
Al: 0.500 0.500 0.000

=====

Volume: 35.8 12.2 16.2 16.4 17.5 32.2 12.3 60.4 30.3 17.9 15.2 17.6 20.3 12.0 21.4 24.0 21.7 21.7 12.0 18.7 (Å³/atom)